P:
A plane-wave DFT calculation with PBE was carried out for a geometry-optimized NaSrS2Cl structure.

The volume is 25.48 Å³ per atom. The value obtained for the density of states at the Fermi level is 0.591 states/eV per atom.

It has space group P4/mmm (No. 123), with a = 4.901 Å, b = 4.901 Å, c = 5.303 Å, α = 90.00°, β = 90.00° and γ = 90.00°. The distinct sites, in fractional coordinates, are Na at (0.000, 0.000, 0.000), Sr at (0.500, 0.500, 0.500), S at (0.000, 0.500, 0.000) and Cl at (0.000, 0.000, 0.500).

***

Q:
A plane-wave DFT calculation with PBE was carried out for a geometry-optimized NaSrS2Cl structure.

The volume is 37.27 Å³ per atom. The value obtained for the density of states at the Fermi level is 1.136 states/eV per atom.

It has space group P4/mmm (No. 123), with a = 5.739 Å, b = 5.739 Å, c = 5.658 Å, α = 90.00°, β = 90.00° and γ = 90.00°. The distinct sites, in fractional coordinates, are Na at (0.000, 0.000, 0.000), Sr at (0.500, 0.500, 0.500), S at (0.000, 0.500, 0.500) and Cl at (0.500, 0.500, 0.000).

***

Of them, Q has the lowest stability.

***

P:
A plane-wave DFT calculation with PBE was carried out for a geometry-optimized NaTcS2Cl structure.

The volume is 23.74 Å³ per atom. The value obtained for the density of states at the Fermi level is 1.195 states/eV per atom.

It has space group P4/mmm (No. 123), with a = 4.968 Å, b = 4.968 Å, c = 4.808 Å, α = 90.00°, β = 90.00° and γ = 90.00°. The distinct sites, in fractional coordinates, are Na at (0.000, 0.000, 0.000), Tc at (0.500, 0.500, 0.500), S at (0.000, 0.500, 0.000) and Cl at (0.000, 0.000, 0.500).

***

Q:
A plane-wave DFT calculation with PBE was carried out for a geometry-optimized NaTcS2Cl structure.

The volume is 24.46 Å³ per atom. The value obtained for the density of states at the Fermi level is 0.667 states/eV per atom.

It has space group P4/mmm (No. 123), with a = 5.242 Å, b = 5.242 Å, c = 4.450 Å, α = 90.00°, β = 90.00° and γ = 90.00°. The distinct sites, in fractional coordinates, are Na at (0.000, 0.000, 0.000), Tc at (0.500, 0.500, 0.000), S at (0.000, 0.500, 0.500) and Cl at (0.500, 0.500, 0.500).

***

R:
A plane-wave DFT calculation with PBE was carried out for a geometry-optimized NaTcS2Cl structure.

The volume is 22.13 Å³ per atom. The value obtained for the density of states at the Fermi level is 0.221 states/eV per atom.

It has space group P4/mmm (No. 123), with a = 4.562 Å, b = 4.562 Å, c = 5.317 Å, α = 90.00°, β = 90.00° and γ = 90.00°. The distinct sites, in fractional coordinates, are Na at (0.000, 0.000, 0.000), Tc at (0.500, 0.500, 0.500), S at (0.000, 0.500, 0.500) and Cl at (0.500, 0.500, 0.000).

***

Of them, P has the lowest stability.

***

P:
A plane-wave DFT calculation with PBE was carried out for a geometry-optimized NaTiSCl2 structure.

The volume is 23.61 Å³ per atom. The value obtained for the density of states at the Fermi level is 1.042 states/eV per atom.

It has space group P4/mmm (No. 123), with a = 4.771 Å, b = 4.771 Å, c = 5.186 Å, α = 90.00°, β = 90.00° and γ = 90.00°. The distinct sites, in fractional coordinates, are Na at (0.000, 0.000, 0.000), Ti at (0.500, 0.500, 0.500), S at (0.000, 0.000, 0.500) and Cl at (0.000, 0.500, 0.000).

***

Q:
A plane-wave DFT calculation with PBE was carried out for a geometry-optimized NaTiSCl2 structure.

The volume is 23.22 Å³ per atom. The value obtained for the density of states at the Fermi level is 0.595 states/eV per atom.

It has space group P4/mmm (No. 123), with a = 4.959 Å, b = 4.959 Å, c = 4.720 Å, α = 90.00°, β = 90.00° and γ = 90.00°. The distinct sites, in fractional coordinates, are Na at (0.000, 0.000, 0.000), Ti at (0.500, 0.500, 0.500), S at (0.500, 0.500, 0.000) and Cl at (0.000, 0.500, 0.500).

***

Of them, P has the lowest stability.

***

P:
A plane-wave DFT calculation with PBE was carried out for a geometry-optimized NaTlSCl2 structure.

The volume is 30.14 Å³ per atom. The value obtained for the density of states at the Fermi level is 0.690 states/eV per atom.

It has space group P4/mmm (No. 123), with a = 5.366 Å, b = 5.366 Å, c = 5.233 Å, α = 90.00°, β = 90.00° and γ = 90.00°. The distinct sites, in fractional coordinates, are Na at (0.000, 0.000, 0.000), Tl at (0.500, 0.500, 0.500), S at (0.000, 0.000, 0.500) and Cl at (0.000, 0.500, 0.000).

***

Q:
A plane-wave DFT calculation with PBE was carried out for a geometry-optimized NaTlSCl2 structure.

The volume is 30.40 Å³ per atom. The value obtained for the density of states at the Fermi level is 0.968 states/eV per atom.

It has space group P4/mmm (No. 123), with a = 5.483 Å, b = 5.483 Å, c = 5.057 Å, α = 90.00°, β = 90.00° and γ = 90.00°. The distinct sites, in fractional coordinates, are Na at (0.000, 0.000, 0.000), Tl at (0.500, 0.500, 0.500), S at (0.500, 0.500, 0.000) and Cl at (0.000, 0.500, 0.500).

***

Of them, P has the lowest stability.

***

P:
A plane-wave DFT calculation with PBE was carried out for a geometry-optimized NaTlS2Cl structure.

The volume is 29.40 Å³ per atom. The value obtained for the density of states at the Fermi level is 0.837 states/eV per atom.

It has space group P4/mmm (No. 123), with a = 5.282 Å, b = 5.282 Å, c = 5.269 Å, α = 90.00°, β = 90.00° and γ = 90.00°. The distinct sites, in fractional coordinates, are Na at (0.000, 0.000, 0.000), Tl at (0.500, 0.500, 0.500), S at (0.000, 0.500, 0.000) and Cl at (0.000, 0.000, 0.500).

***

Q:
A plane-wave DFT calculation with PBE was carried out for a geometry-optimized NaTlS2Cl structure.

The volume is 29.32 Å³ per atom. The value obtained for the density of states at the Fermi level is 0.965 states/eV per atom.

It has space group P4/mmm (No. 123), with a = 5.104 Å, b = 5.104 Å, c = 5.627 Å, α = 90.00°, β = 90.00° and γ = 90.00°. The distinct sites, in fractional coordinates, are Na at (0.000, 0.000, 0.000), Tl at (0.500, 0.500, 0.500), S at (0.000, 0.500, 0.500) and Cl at (0.500, 0.500, 0.000).

***

Of them, P has the lowest stability.

***

P:
A plane-wave DFT calculation with PBE was carried out for a geometry-optimized NaVSCl2 structure.

The volume is 22.57 Å³ per atom. The value obtained for the density of states at the Fermi level is 0.264 states/eV per atom.

It has space group P4/mmm (No. 123), with a = 4.980 Å, b = 4.980 Å, c = 4.552 Å, α = 90.00°, β = 90.00° and γ = 90.00°. The distinct sites, in fractional coordinates, are Na at (0.000, 0.000, 0.000), V at (0.500, 0.500, 0.500), S at (0.500, 0.500, 0.000) and Cl at (0.000, 0.500, 0.500).

***

Q:
A plane-wave DFT calculation with PBE was carried out for a geometry-optimized NaVSCl2 structure.

The volume is 24.58 Å³ per atom. The value obtained for the density of states at the Fermi level is 1.048 states/eV per atom.

It has space group P4/mmm (No. 123), with a = 4.826 Å, b = 4.826 Å, c = 5.277 Å, α = 90.00°, β = 90.00° and γ = 90.00°. The distinct sites, in fractional coordinates, are Na at (0.000, 0.000, 0.000), V at (0.500, 0.500, 0.500), S at (0.000, 0.000, 0.500) and Cl at (0.000, 0.500, 0.000).

***

Of them, Q has the lowest stability.

***

P:
A plane-wave DFT calculation with PBE was carried out for a geometry-optimized NaYS2Cl structure.

The volume is 22.65 Å³ per atom. The value obtained for the density of states at the Fermi level is 0.450 states/eV per atom.

It has space group P4/mmm (No. 123), with a = 4.899 Å, b = 4.899 Å, c = 4.720 Å, α = 90.00°, β = 90.00° and γ = 90.00°. The distinct sites, in fractional coordinates, are Na at (0.000, 0.000, 0.000), Y at (0.500, 0.500, 0.500), S at (0.000, 0.500, 0.000) and Cl at (0.000, 0.000, 0.500).

***

Q:
A plane-wave DFT calculation with PBE was carried out for a geometry-optimized NaYS2Cl structure.

The volume is 29.90 Å³ per atom. The value obtained for the density of states at the Fermi level is 0.624 states/eV per atom.

It has space group P4/mmm (No. 123), with a = 5.268 Å, b = 5.268 Å, c = 5.385 Å, α = 90.00°, β = 90.00° and γ = 90.00°. The distinct sites, in fractional coordinates, are Na at (0.000, 0.000, 0.000), Y at (0.500, 0.500, 0.500), S at (0.000, 0.500, 0.500) and Cl at (0.500, 0.500, 0.000).

***

Of them, P has the lowest stability.

***

P:
A plane-wave DFT calculation with PBE was carried out for a geometry-optimized NaZnSCl2 structure.

The volume is 26.21 Å³ per atom. The value obtained for the density of states at the Fermi level is 0.969 states/eV per atom.

It has space group P4/mmm (No. 123), with a = 4.972 Å, b = 4.972 Å, c = 5.299 Å, α = 90.00°, β = 90.00° and γ = 90.00°. The distinct sites, in fractional coordinates, are Na at (0.000, 0.000, 0.000), Zn at (0.500, 0.500, 0.500), S at (0.000, 0.000, 0.500) and Cl at (0.000, 0.500, 0.000).

***

Q:
A plane-wave DFT calculation with PBE was carried out for a geometry-optimized NaZnSCl2 structure.

The volume is 24.07 Å³ per atom. The value obtained for the density of states at the Fermi level is 0.685 states/eV per atom.

It has space group P4/mmm (No. 123), with a = 5.091 Å, b = 5.091 Å, c = 4.644 Å, α = 90.00°, β = 90.00° and γ = 90.00°. The distinct sites, in fractional coordinates, are Na at (0.000, 0.000, 0.000), Zn at (0.500, 0.500, 0.500), S at (0.500, 0.500, 0.000) and Cl at (0.000, 0.500, 0.500).

***

Of them, P has the lowest stability.

***

P:
A plane-wave DFT calculation with PBE was carried out for a geometry-optimized NaZrSCl2 structure.

The volume is 22.48 Å³ per atom. The value obtained for the density of states at the Fermi level is 0.741 states/eV per atom.

It has space group P4/mmm (No. 123), with a = 4.645 Å, b = 4.645 Å, c = 5.211 Å, α = 90.00°, β = 90.00° and γ = 90.00°. The distinct sites, in fractional coordinates, are Na at (0.000, 0.000, 0.000), Zr at (0.500, 0.500, 0.500), S at (0.000, 0.000, 0.500) and Cl at (0.000, 0.500, 0.000).

***

Q:
A plane-wave DFT calculation with PBE was carried out for a geometry-optimized NaZrSCl2 structure.

The volume is 26.05 Å³ per atom. The value obtained for the density of states at the Fermi level is 0.323 states/eV per atom.

It has space group P4/mmm (No. 123), with a = 5.098 Å, b = 5.098 Å, c = 5.011 Å, α = 90.00°, β = 90.00° and γ = 90.00°. The distinct sites, in fractional coordinates, are Na at (0.000, 0.000, 0.000), Zr at (0.500, 0.500, 0.500), S at (0.500, 0.500, 0.000) and Cl at (0.000, 0.500, 0.500).

***

Of them, P has the lowest stability.

***

P:
A plane-wave DFT calculation with PBE was carried out for a geometry-optimized NaSbCl4 structure.

The volume is 33.97 Å³ per atom.

It has space group C2/m (No. 12), with a = 17.086 Å, b = 5.425 Å, c = 9.358 Å, α = 90.00°, β = 109.98° and γ = 90.00°. The distinct sites, in fractional coordinates, are Na at (0.112, 0.000, 0.201), Sb at (0.195, 0.000, 0.793), Cl at (0.063, 0.000, 0.879), Cl at (0.111, 0.000, 0.532), Cl at (0.165, 0.500, 0.266) and Cl at (0.213, 0.500, 0.822).

***

Q:
A plane-wave DFT calculation with PBE was carried out for a geometry-optimized NaSbCl4 structure.

The volume is 34.00 Å³ per atom. The value obtained for the density of states at the Fermi level is 0.000 states/eV per atom.

It has space group I4_1/amd (No. 141, origin choice 2), with a = 9.523 Å, b = 9.523 Å, c = 8.997 Å, α = 90.00°, β = 90.00° and γ = 90.00°. The distinct sites, in fractional coordinates, are Na at (0.000, 0.250, 0.375), Sb at (0.000, 0.250, 0.875) and Cl at (0.000, 0.050, 0.687).

***

Of them, Q has the lowest stability.

***

P:
A plane-wave DFT calculation with PBE was carried out for a geometry-optimized NaSbCl2 structure.

The volume is 24.51 Å³ per atom. The value obtained for the density of states at the Fermi level is 0.922 states/eV per atom.

It has space group Fm-3m (No. 225), with a = 7.320 Å, b = 7.320 Å, c = 7.320 Å, α = 90.00°, β = 90.00° and γ = 90.00°. The distinct sites, in fractional coordinates, are Na at (0.000, 0.000, 0.000), Sb at (0.000, 0.000, 0.500) and Cl at (0.250, 0.250, 0.250).

***

Q:
A plane-wave DFT calculation with PBE was carried out for a geometry-optimized NaSbCl2 structure.

The volume is 26.36 Å³ per atom. The value obtained for the density of states at the Fermi level is 0.228 states/eV per atom.

It has space group I-42d (No. 122), with a = 7.717 Å, b = 7.717 Å, c = 7.081 Å, α = 90.00°, β = 90.00° and γ = 90.00°. The distinct sites, in fractional coordinates, are Na at (0.000, 0.000, 0.000), Sb at (0.000, 0.000, 0.500) and Cl at (0.246, 0.250, 0.125).

***

Of them, P has the lowest stability.

***

P:
A plane-wave DFT calculation with PBE was carried out for a geometry-optimized Na3SbCl6 structure.

The volume is 30.47 Å³ per atom. The value obtained for the density of states at the Fermi level is 0.000 states/eV per atom.

It has space group Fm-3m (No. 225), with a = 10.682 Å, b = 10.682 Å, c = 10.682 Å, α = 90.00°, β = 90.00° and γ = 90.00°. The distinct sites, in fractional coordinates, are Na at (0.000, 0.000, 0.000), Na at (0.250, 0.250, 0.250), Sb at (0.000, 0.000, 0.500) and Cl at (0.000, 0.000, 0.253).

***

Q:
A plane-wave DFT calculation with PBE was carried out for a geometry-optimized Na3SbCl6 structure.

The volume is 26.45 Å³ per atom. The value obtained for the density of states at the Fermi level is 0.000 states/eV per atom.

It has space group P2_1/c (No. 14), with a = 6.949 Å, b = 7.351 Å, c = 12.369 Å, α = 90.00°, β = 123.14° and γ = 90.00°. The distinct sites, in fractional coordinates, are Na at (0.000, 0.000, 0.000), Na at (0.207, 0.075, 0.731), Sb at (0.500, 0.000, 0.500), Cl at (0.123, 0.181, 0.440), Cl at (0.238, 0.699, 0.412) and Cl at (0.406, 0.074, 0.262).

***

Of them, P has the lowest stability.